[1]
DFT (meta-GGA SCAN) results for a PBEsol-optimized structure of Li4Fe3Co3Te2O16.

Structure (CIF):
```
data_Li4Fe3Co3Te2O16
_space_group_name_H-M_alt 'P 1'
_space_group_IT_number 1
_space_group_name_Hall 'P 1'
_cell_length_a 5.725
_cell_length_b 5.716
_cell_length_c 9.648
_cell_angle_alpha 89.87
_cell_angle_beta 90.00
_cell_angle_gamma 120.06
loop_
_atom_site_label
_atom_site_type_symbol
_atom_site_fract_x
_atom_site_fract_y
_atom_site_fract_z
_atom_site_occupancy
O1 O 0.667 0.335 0.882 1
O2 O 0.833 0.666 0.404 1
O3 O 0.486 0.972 0.143 1
O4 O 0.999 0.998 0.695 1
Fe1 Fe 0.642 0.821 0.284 1
O5 O 0.515 0.030 0.675 1
Fe2 Fe 0.830 0.659 0.784 1
Li1 Li 0.999 0.999 0.507 1
O6 O 0.154 0.847 0.898 1
Li2 Li 0.333 0.665 0.606 1
Co1 Co 0.338 0.169 0.785 1
Co2 Co 0.178 0.357 0.285 1
O7 O 0.693 0.847 0.898 1
O8 O 0.155 0.311 0.896 1
O9 O 0.030 0.517 0.144 1
O10 O 0.486 0.517 0.144 1
O11 O 0.001 0.002 0.209 1
O12 O 0.969 0.487 0.675 1
Fe3 Fe 0.179 0.821 0.284 1
O13 O 0.518 0.487 0.675 1
Te1 Te 0.333 0.667 0.005 1
O14 O 0.334 0.667 0.399 1
Li3 Li 0.667 0.335 0.084 1
O15 O 0.833 0.163 0.406 1
Co3 Co 0.831 0.169 0.785 1
O16 O 0.330 0.163 0.406 1
Li4 Li 0.002 0.004 0.018 1
Te2 Te 0.665 0.329 0.513 1
```

Output
uncorrected energy	-334.598	eV for the cell shown
crystal system	monoclinic
space group	Cm, No. 8



[2]
DFT (meta-GGA SCAN) results for a PBEsol-optimized structure of NaFeC2.

Structure (CIF):
```
data_NaFeC2
_space_group_name_H-M_alt 'P 1'
_space_group_IT_number 1
_space_group_name_Hall 'P 1'
_cell_length_a 3.656
_cell_length_b 3.656
_cell_length_c 3.656
_cell_angle_alpha 60.00
_cell_angle_beta 60.00
_cell_angle_gamma 60.00
loop_
_atom_site_label
_atom_site_type_symbol
_atom_site_fract_x
_atom_site_fract_y
_atom_site_fract_z
_atom_site_occupancy
Fe1 Fe 0.500 0.500 0.500 1
C1 C 0.750 0.750 0.750 1
Na1 Na 0.000 0.000 0.000 1
C2 C 0.250 0.250 0.250 1
```

Output
E_form	1869	meV/atom
E above lowest polymorph	1165	meV/atom
uncorrected energy	-35.067	eV for the cell shown
crystal system	cubic
space group	Fm-3m, No. 225